1.
{
  "formula": "AlP2NCl",
  "functional": "PBE",
  "state": "relaxed",
  "energy_ev_per_cell": -17.22,
  "e_above_lowest_polymorph_ev_per_atom": 0.5838,
  "raw_formation_energy_ev_per_atom": 1.503,
  "magmom_total_mub_per_fu": 0.0,
  "volume_a3_per_cell": 97,
  "lattice": [[4.699, 0.000, 0.000], [0.000, 4.699, 0.000], [0.000, 0.000, 4.380]],
  "species": ["Al", "P", "P", "N", "Cl"],
  "fractional_positions": [[0.000, 0.000, 0.000], [0.000, 0.500, 0.000], [0.500, 0.000, 0.000], [0.500, 0.500, 0.500], [0.000, 0.000, 0.500]]
}

---

2.
{
  "formula": "AlPNCl2",
  "functional": "PBE",
  "state": "relaxed",
  "energy_ev_per_cell": -17.56,
  "e_above_lowest_polymorph_ev_per_atom": 0.1283,
  "raw_formation_energy_ev_per_atom": 0.722,
  "magmom_total_mub_per_fu": 1.0,
  "volume_a3_per_cell": 108,
  "lattice": [[4.657, 0.000, 0.000], [0.000, 4.657, 0.000], [0.000, 0.000, 5.000]],
  "species": ["Al", "P", "N", "Cl", "Cl"],
  "fractional_positions": [[0.000, 0.000, 0.000], [0.000, 0.000, 0.500], [0.500, 0.500, 0.500], [0.000, 0.500, 0.000], [0.500, 0.000, 0.000]]
}

---

3.
{
  "formula": "Rb2AlNCl6",
  "functional": "PBE",
  "state": "relaxed",
  "energy_ev_per_cell": -34.53,
  "raw_formation_energy_ev_per_atom": -0.944,
  "magmom_total_mub_per_fu": 2.0,
  "volume_a3_per_cell": 272,
  "lattice": [[-3.870, 3.870, 4.547], [3.870, -3.870, 4.547], [3.870, 3.870, -4.547]],
  "species": ["Rb", "Rb", "Al", "N", "Cl", "Cl", "Cl", "Cl", "Cl", "Cl"],
  "fractional_positions": [[0.250, 0.750, 0.500], [0.750, 0.250, 0.500], [0.000, 0.000, 0.000], [0.500, 0.500, 0.000], [0.209, 0.209, 0.418], [0.209, 0.791, 0.000], [0.276, 0.276, 0.000], [0.724, 0.724, 0.000], [0.791, 0.209, 0.000], [0.791, 0.791, 0.582]]
}

---

4.
{
  "formula": "AlRe2NCl",
  "functional": "PBE",
  "state": "relaxed",
  "energy_ev_per_cell": -25.45,
  "raw_formation_energy_ev_per_atom": 2.672,
  "magmom_total_mub_per_fu": 0.0,
  "volume_a3_per_cell": 83,
  "lattice": [[4.305, 0.000, 0.000], [0.000, 4.305, 0.000], [0.000, 0.000, 4.493]],
  "species": ["Al", "Re", "Re", "N", "Cl"],
  "fractional_positions": [[0.000, 0.000, 0.000], [0.000, 0.500, 0.500], [0.500, 0.000, 0.500], [0.500, 0.500, 0.000], [0.000, 0.000, 0.500]]
}

---

5.
{
  "formula": "AlReN2Cl",
  "functional": "PBE",
  "state": "relaxed",
  "energy_ev_per_cell": -22.39,
  "raw_formation_energy_ev_per_atom": 2.460,
  "magmom_total_mub_per_fu": 0.0,
  "volume_a3_per_cell": 65,
  "lattice": [[3.859, 0.000, 0.000], [0.000, 3.859, 0.000], [0.000, 0.000, 4.374]],
  "species": ["Al", "Re", "N", "N", "Cl"],
  "fractional_positions": [[0.000, 0.000, 0.000], [0.500, 0.500, 0.000], [0.000, 0.500, 0.500], [0.500, 0.000, 0.500], [0.000, 0.000, 0.500]]
}

---

6.
{
  "formula": "Al2RhNCl",
  "functional": "PBE",
  "state": "relaxed",
  "energy_ev_per_cell": -24.88,
  "raw_formation_energy_ev_per_atom": 0.026,
  "magmom_total_mub_per_fu": 0.0,
  "volume_a3_per_cell": 93,
  "lattice": [[4.972, 0.000, 0.000], [0.000, 4.972, 0.000], [0.000, 0.000, 3.743]],
  "species": ["Al", "Al", "Rh", "N", "Cl"],
  "fractional_positions": [[0.000, 0.500, 0.000], [0.500, 0.000, 0.000], [0.000, 0.000, 0.000], [0.000, 0.000, 0.500], [0.500, 0.500, 0.500]]
}

---

7.
{
  "formula": "AlS2NCl4",
  "functional": "PBE",
  "state": "relaxed",
  "energy_ev_per_cell": -133.59,
  "raw_formation_energy_ev_per_atom": -0.711,
  "magmom_total_mub_per_fu": 0.0,
  "volume_a3_per_cell": 968,
  "lattice": [[11.806, 0.000, 0.000], [0.000, 7.536, 0.000], [0.000, 0.000, 10.880]],
  "species": ["Al", "Al", "Al", "Al", "S", "S", "S", "S", "S", "S", "S", "S", "N", "N", "N", "N", "Cl", "Cl", "Cl", "Cl", "Cl", "Cl", "Cl", "Cl", "Cl", "Cl", "Cl", "Cl", "Cl", "Cl", "Cl", "Cl"],
  "fractional_positions": [[0.109, 0.250, 0.203], [0.391, 0.750, 0.703], [0.609, 0.250, 0.297], [0.891, 0.750, 0.797], [0.128, 0.250, 0.843], [0.145, 0.250, 0.567], [0.355, 0.750, 0.067], [0.372, 0.750, 0.343], [0.628, 0.250, 0.657], [0.645, 0.250, 0.933], [0.855, 0.750, 0.433], [0.872, 0.750, 0.157], [0.138, 0.250, 0.705], [0.362, 0.750, 0.205], [0.638, 0.250, 0.795], [0.862, 0.750, 0.295], [0.035, 0.750, 0.919], [0.110, 0.019, 0.321], [0.110, 0.481, 0.321], [0.240, 0.750, 0.590], [0.260, 0.250, 0.090], [0.390, 0.519, 0.821], [0.390, 0.981, 0.821], [0.465, 0.250, 0.419], [0.535, 0.750, 0.581], [0.610, 0.019, 0.179], [0.610, 0.481, 0.179], [0.740, 0.750, 0.910], [0.760, 0.250, 0.410], [0.890, 0.519, 0.679], [0.890, 0.981, 0.679], [0.965, 0.250, 0.081]]
}

---

8.
{
  "formula": "AlS2NCl",
  "functional": "PBE",
  "state": "relaxed",
  "energy_ev_per_cell": -17.87,
  "e_above_lowest_polymorph_ev_per_atom": 0.1929,
  "raw_formation_energy_ev_per_atom": 0.861,
  "magmom_total_mub_per_fu": 0.0,
  "volume_a3_per_cell": 76,
  "lattice": [[4.079, 0.000, 0.000], [0.000, 4.079, 0.000], [0.000, 0.000, 4.541]],
  "species": ["Al", "S", "S", "N", "Cl"],
  "fractional_positions": [[0.000, 0.000, 0.000], [0.000, 0.500, 0.500], [0.500, 0.000, 0.500], [0.500, 0.500, 0.500], [0.500, 0.500, 0.000]]
}